#a
# GGA-PBE Ca2Ni2Pd, optimized geometry
data_Ca2Ni2Pd
_chemical_formula_sum 'Ca4 Ni4 Pd2'
_cell_length_a 3.4111
_cell_length_b 3.4111
_cell_length_c 16.9416
_cell_angle_alpha 90.00
_cell_angle_beta 90.00
_cell_angle_gamma 90.00
_space_group_name_H-M_alt 'I 4/m m m'
_space_group_IT_number 139
_space_group_name_Hall '-I 4 2'
loop_
_atom_site_label
_atom_site_type_symbol
_atom_site_fract_x
_atom_site_fract_y
_atom_site_fract_z
Ca1 Ca 0.0000 0.0000 0.1087
Ni1 Ni 0.0000 0.5000 0.2500
Pd1 Pd 0.0000 0.0000 0.5000
# Fermi-level density of states = 7.21 states/eV/f.u.
# calculated density = 5.12 g cm⁻³

#b
# GGA-PBE Ca2Ni2Pd, optimized geometry
data_Ca2Ni2Pd
_chemical_formula_sum 'Ca4 Ni4 Pd2'
_cell_length_a 5.4342
_cell_length_b 5.4342
_cell_length_c 7.1729
_cell_angle_alpha 90.00
_cell_angle_beta 90.00
_cell_angle_gamma 90.00
_space_group_name_H-M_alt 'I 4/m m m'
_space_group_IT_number 139
_space_group_name_Hall '-I 4 2'
loop_
_atom_site_label
_atom_site_type_symbol
_atom_site_fract_x
_atom_site_fract_y
_atom_site_fract_z
Ca1 Ca 0.0000 0.5000 0.2500
Ni1 Ni 0.0000 0.0000 0.1553
Pd1 Pd 0.0000 0.0000 0.5000
# Fermi-level density of states = 1.48 states/eV/f.u.
# calculated density = 4.77 g cm⁻³

Which of them is the most stable? Correct choice: #a.

#a
# GGA-PBE CaPmNiPd, optimized geometry
data_CaPmNiPd
_chemical_formula_sum 'Ca4 Pm4 Ni4 Pd4'
_cell_length_a 7.0181
_cell_length_b 7.0181
_cell_length_c 7.0181
_cell_angle_alpha 90.00
_cell_angle_beta 90.00
_cell_angle_gamma 90.00
_space_group_name_H-M_alt 'F -4 3 m'
_space_group_IT_number 216
_space_group_name_Hall 'F -4 2 3'
loop_
_atom_site_label
_atom_site_type_symbol
_atom_site_fract_x
_atom_site_fract_y
_atom_site_fract_z
Ca1 Ca 0.0000 0.0000 0.0000
Pm1 Pm 0.0000 0.0000 0.5000
Ni1 Ni 0.2500 0.2500 0.7500
Pd1 Pd 0.2500 0.2500 0.2500
# Fermi-level density of states = 2.36 states/eV/f.u.
# calculated density = 6.73 g cm⁻³

#b
# GGA-PBE CaPmNiPd, optimized geometry
data_CaPmNiPd
_chemical_formula_sum 'Ca2 Pm2 Ni2 Pd2'
_cell_length_a 4.2334
_cell_length_b 3.9421
_cell_length_c 10.9402
_cell_angle_alpha 90.00
_cell_angle_beta 90.00
_cell_angle_gamma 90.00
_space_group_name_H-M_alt 'A m m 2'
_space_group_IT_number 38
loop_
_space_group_symop_operation_xyz
'x,y,z'
'-x,-y,z'
'-x,y,z'
'x,-y,z'
'x,y+1/2,z+1/2'
'-x,-y+1/2,z+1/2'
'-x,y+1/2,z+1/2'
'x,-y+1/2,z+1/2'
loop_
_atom_site_label
_atom_site_type_symbol
_atom_site_fract_x
_atom_site_fract_y
_atom_site_fract_z
Ca1 Ca 0.0000 0.0000 0.0000
Pm1 Pm 0.5000 0.0000 0.2809
Ni1 Ni 0.0000 0.0000 0.7200
Pd1 Pd 0.5000 0.0000 0.5717
# Fermi-level density of states = 2.47 states/eV/f.u.
# calculated density = 6.37 g cm⁻³

Which of them is the most stable? Correct choice: #b.